A.
ZrBe2Mo | meta-GGA SCAN | PBEsol geometry

abc: 2.738 2.738 8.934
angles: 81.19 81.19 60.00
Fractional positions:
Be: 0.243 0.243 0.270
Be: 0.757 0.757 0.730
Mo: 0.500 0.500 0.500
Zr: 0.000 0.000 0.000

Calculated values
The density of states at the Fermi level comes out at 2.1 states/eV/f.u.


B.
ZrBe2Mo | meta-GGA SCAN | PBEsol geometry

abc: 3.350 3.434 4.924
angles: 90.00 109.89 90.00
Fractional positions:
Be: 0.180 0.000 0.359
Be: 0.055 0.500 0.110
Mo: 0.481 0.000 0.962
Zr: 0.783 0.500 0.567

Calculated values
The density of states at the Fermi level comes out at 3.2 states/eV/f.u.


Stability verdict: B, ahead by 46.8 kJ/mol of atoms


A.
BePSe2N | meta-GGA SCAN | PBEsol geometry

abc: 3.219 4.876 4.876
angles: 90.00 90.00 90.00
Fractional positions:
P: 0.000 0.000 0.000
Be: 0.500 0.500 0.500
Se: 0.000 0.000 0.500
Se: 0.000 0.500 0.000
N: 0.500 0.000 0.000

Calculated values
The density of states at the Fermi level comes out at 2.2 states/eV/f.u.


B.
BePSe2N | meta-GGA SCAN | PBEsol geometry

abc: 3.129 4.775 4.775
angles: 90.00 90.00 90.00
Fractional positions:
P: 0.500 0.500 0.500
Be: 0.000 0.000 0.000
Se: 0.000 0.000 0.500
Se: 0.000 0.500 0.000
N: 0.500 0.000 0.000

Calculated values
The density of states at the Fermi level comes out at 3.6 states/eV/f.u.


Stability verdict: A, ahead by 4.0 kJ/mol of atoms


A.
BeS2N | meta-GGA SCAN | PBEsol geometry

abc: 3.959 3.959 3.959
angles: 60.00 60.00 60.00
Fractional positions:
Be: 0.000 0.000 0.000
S: 0.250 0.250 0.250
S: 0.750 0.750 0.750
N: 0.500 0.500 0.500

Calculated values
The density of states at the Fermi level comes out at 2.1 states/eV/f.u.


B.
BeS2N | meta-GGA SCAN | PBEsol geometry

abc: 3.372 3.372 5.768
angles: 73.00 73.00 60.00
Fractional positions:
Be: 0.500 0.500 0.500
S: 0.904 0.904 0.287
S: 0.096 0.096 0.713
N: 0.000 0.000 0.000

Calculated values
The density of states at the Fermi level comes out at 1.2 states/eV/f.u.


Stability verdict: B, ahead by 130.5 kJ/mol of atoms


A.
Na2BeSi2O6 | meta-GGA SCAN | PBEsol geometry

abc: 6.886 11.130 11.134
angles: 84.51 71.99 71.98
Fractional positions:
Na: 0.552 0.348 0.561
Na: 0.003 0.185 0.330
Na: 0.989 0.500 0.023
Na: 0.610 0.000 0.781
Na: 0.232 0.685 0.830
Na: 0.667 0.815 0.330
Na: 0.289 0.848 0.061
Na: 0.938 0.315 0.830
Na: 0.887 0.652 0.561
Na: 0.360 0.500 0.281
Na: 0.239 0.000 0.523
Na: 0.649 0.152 0.061
Be: 0.078 0.664 0.151
Be: 0.771 0.336 0.151
Be: 0.857 0.164 0.651
Be: 0.492 0.836 0.651
Be: 0.385 0.000 0.230
Be: 0.135 0.500 0.730
Si: 0.177 0.133 0.025
Si: 0.713 0.700 0.851
Si: 0.090 0.000 0.819
Si: 0.436 0.300 0.851
Si: 0.060 0.367 0.525
Si: 0.415 0.633 0.525
Si: 0.163 0.800 0.351
Si: 0.500 0.500 0.000
Si: 0.798 0.867 0.025
Si: 0.750 0.000 0.500
Si: 0.486 0.200 0.351
Si: 0.840 0.500 0.319
O: 0.926 0.268 0.543
O: 0.532 0.732 0.542
O: 0.866 0.972 0.914
O: 0.997 0.472 0.414
O: 0.314 0.890 0.326
O: 0.212 0.699 0.466
O: 0.954 0.610 0.826
O: 0.220 0.028 0.914
O: 0.252 0.535 0.081
O: 0.220 0.390 0.826
O: 0.014 0.768 0.042
O: 0.332 0.553 0.647
O: 0.360 0.110 0.326
O: 0.538 0.965 0.581
O: 0.589 0.528 0.414
O: 0.635 0.947 0.147
O: 0.194 0.719 0.230
O: 0.892 0.375 0.239
O: 0.660 0.801 0.966
O: 0.021 0.447 0.647
O: 0.017 0.125 0.739
O: 0.869 0.625 0.239
O: 0.667 0.465 0.081
O: 0.322 0.301 0.466
O: 0.882 0.035 0.581
O: 0.218 0.053 0.147
O: 0.689 0.123 0.406
O: 0.374 0.199 0.966
O: 0.244 0.875 0.739
O: 0.607 0.219 0.730
O: 0.943 0.232 0.042
O: 0.905 0.877 0.406
O: 0.561 0.377 0.906
O: 0.663 0.781 0.730
O: 0.576 0.281 0.230
O: 0.533 0.623 0.906

Calculated values
The density of states at the Fermi level comes out at 0.0 states/eV/f.u.


B.
Na2BeSi2O6 | meta-GGA SCAN | PBEsol geometry

abc: 7.069 11.124 11.508
angles: 84.40 72.11 71.47
Fractional positions:
Na: 0.811 0.000 0.378
Na: 0.533 0.338 0.628
Na: 0.189 0.000 0.622
Na: 0.217 0.162 0.872
Na: 0.939 0.500 0.122
Na: 0.911 0.838 0.872
Na: 0.561 0.500 0.878
Na: 0.251 0.838 0.128
Na: 0.499 0.662 0.372
Na: 0.839 0.662 0.628
Na: 0.621 0.162 0.128
Na: 0.129 0.338 0.372
Be: 0.067 0.867 0.500
Be: 0.317 0.367 0.000
Be: 0.683 0.633 0.000
Be: 0.750 0.500 0.500
Be: 0.433 0.133 0.500
Be: 0.000 0.000 0.000
Si: 0.344 0.000 0.312
Si: 0.028 0.318 0.648
Si: 0.426 0.818 0.852
Si: 0.656 0.000 0.688
Si: 0.406 0.500 0.188
Si: 0.994 0.682 0.352
Si: 0.094 0.500 0.812
Si: 0.324 0.682 0.648
Si: 0.756 0.818 0.148
Si: 0.654 0.318 0.352
Si: 0.096 0.182 0.148
Si: 0.722 0.182 0.852
O: 0.277 0.460 0.114
O: 0.592 0.216 0.454
O: 0.278 0.125 0.221
O: 0.528 0.569 0.592
O: 0.488 0.716 0.954
O: 0.870 0.069 0.908
O: 0.154 0.375 0.721
O: 0.596 0.125 0.779
O: 0.487 0.040 0.614
O: 0.875 0.250 0.750
O: 0.903 0.569 0.408
O: 0.795 0.716 0.046
O: 0.263 0.460 0.886
O: 0.158 0.284 0.046
O: 0.558 0.284 0.954
O: 0.955 0.784 0.454
O: 0.609 0.540 0.114
O: 0.880 0.431 0.592
O: 0.141 0.960 0.386
O: 0.847 0.931 0.092
O: 0.192 0.216 0.546
O: 0.473 0.040 0.386
O: 0.061 0.069 0.092
O: 0.472 0.375 0.279
O: 0.875 0.750 0.250
O: 0.501 0.875 0.221
O: 0.851 0.540 0.886
O: 0.222 0.931 0.908
O: 0.625 0.875 0.779
O: 0.899 0.960 0.614
O: 0.249 0.625 0.279
O: 0.689 0.431 0.408
O: 0.875 0.250 0.250
O: 0.125 0.625 0.721
O: 0.375 0.750 0.750
O: 0.262 0.784 0.546

Calculated values
The density of states at the Fermi level comes out at 0.0 states/eV/f.u.


Stability verdict: A, ahead by 5.7 kJ/mol of atoms


A.
NaBe3Pt | meta-GGA SCAN | PBEsol geometry

abc: 4.319 4.319 4.319
angles: 90.00 90.00 90.00
Fractional positions:
Na: 0.500 0.500 0.500
Pt: 0.000 0.000 0.000
Be: 0.000 0.500 0.000
Be: 0.000 0.000 0.500
Be: 0.500 0.000 0.000

Calculated values
The density of states at the Fermi level comes out at 1.3 states/eV/f.u.


B.
NaBe3Pt | meta-GGA SCAN | PBEsol geometry

abc: 4.018 4.018 4.018
angles: 90.00 90.00 90.00
Fractional positions:
Na: 0.000 0.000 0.000
Pt: 0.500 0.500 0.500
Be: 0.000 0.500 0.000
Be: 0.000 0.000 0.500
Be: 0.500 0.000 0.000

Calculated values
The density of states at the Fermi level comes out at 1.6 states/eV/f.u.


Stability verdict: A, ahead by 172.1 kJ/mol of atoms


A.
NaBe3Sn | meta-GGA SCAN | PBEsol geometry

abc: 4.486 4.486 4.486
angles: 90.00 90.00 90.00
Fractional positions:
Na: 0.000 0.000 0.000
Sn: 0.500 0.500 0.500
Be: 0.000 0.500 0.000
Be: 0.000 0.000 0.500
Be: 0.500 0.000 0.000

Calculated values
The density of states at the Fermi level comes out at 1.9 states/eV/f.u.


B.
NaBe3Sn | meta-GGA SCAN | PBEsol geometry

abc: 4.689 4.689 4.689
angles: 90.00 90.00 90.00
Fractional positions:
Na: 0.500 0.500 0.500
Sn: 0.000 0.000 0.000
Be: 0.000 0.500 0.000
Be: 0.000 0.000 0.500
Be: 0.500 0.000 0.000

Calculated values
The density of states at the Fermi level comes out at 3.0 states/eV/f.u.


Stability verdict: B, ahead by 57.5 kJ/mol of atoms